CaTeAuSeS (PBE, optimized geometry); crystal system = monoclinic; total DFT energy (no corrections) = -0.1445 hartree per atom; energy relative to the elements, uncorrected = -0.726 eV/atom
1.0
4.164 -2.046 0.000
4.164 2.046 0.000
-3.499 0.000 8.488
Ca Te Au Se S
1 1 1 1 1
Direct
0.000 0.000 0.000
0.861 0.861 0.481
0.303 0.303 0.647
0.569 0.569 0.250
0.262 0.262 0.890



Sn2HgAu2 (PBE, optimized geometry); crystal system = monoclinic; total DFT energy (no corrections) = -0.1111 hartree per atom; formation energy = -0.050 eV/atom
1.0
4.576 0.000 0.000
0.000 3.611 0.000
-2.124 0.000 7.290
Sn Hg Au
2 1 2
Direct
0.142 0.000 0.276
0.858 0.000 0.724
0.500 0.500 0.000
0.306 0.500 0.619
0.694 0.500 0.381



LiSc2TlB (PBE, optimized geometry); crystal system = tetragonal; total DFT energy (no corrections) = -0.1770 hartree per atom; formation energy = -0.093 eV/atom
1.0
4.677 0.000 0.000
0.000 4.677 0.000
0.000 0.000 4.453
Li Sc Tl B
1 2 1 1
Direct
0.000 0.000 0.000
0.000 0.500 0.500
0.500 0.000 0.500
0.500 0.500 0.000
0.000 0.000 0.500



FeP2OsS (PBE, optimized geometry); crystal system = tetragonal; total DFT energy (no corrections) = -0.2166 hartree per atom; energy relative to the elements, uncorrected = 1.035 eV/atom
1.0
4.226 0.000 0.000
0.000 4.226 0.000
0.000 0.000 4.289
Fe P Os S
1 2 1 1
Direct
0.000 0.000 0.000
0.000 0.500 0.000
0.500 0.000 0.000
0.500 0.500 0.500
0.000 0.000 0.500



Mg3AlO (PBE, optimized geometry); crystal system = cubic; total DFT energy (no corrections) = -0.1310 hartree per atom; energy relative to the elements, uncorrected = -0.869 eV/atom
1.0
4.330 0.000 0.000
0.000 4.330 0.000
0.000 0.000 4.330
Mg Al O
3 1 1
Direct
0.000 0.000 0.500
0.000 0.500 0.000
0.500 0.000 0.000
0.500 0.500 0.500
0.000 0.000 0.000



KMg2Ag (PBE, optimized geometry); crystal system = orthorhombic; total DFT energy (no corrections) = -0.0549 hartree per atom; formation energy = 0.289 eV/atom
1.0
3.174 -5.507 0.000
3.174 5.507 0.000
0.000 0.000 3.133
K Mg Ag
1 2 1
Direct
0.000 0.000 0.000
0.000 0.500 0.500
0.500 0.000 0.500
0.500 0.500 0.000



Ca3SbF (PBE, optimized geometry); crystal system = cubic; total DFT energy (no corrections) = -0.1367 hartree per atom; energy relative to the elements, uncorrected = -1.319 eV/atom
1.0
4.989 0.000 0.000
0.000 4.989 0.000
0.000 0.000 4.989
Ca Sb F
3 1 1
Direct
0.000 0.000 0.500
0.000 0.500 0.000
0.500 0.000 0.000
0.500 0.500 0.500
0.000 0.000 0.000



ThMo2C2 (PBE, optimized geometry); crystal system = orthorhombic; total DFT energy (no corrections) = -0.3521 hartree per atom; formation energy = -0.074 eV/atom
1.0
0.000 4.549 4.661
3.556 0.000 4.661
3.556 4.549 0.000
Th Mo C
2 4 4
Direct
0.125 0.125 0.125
0.875 0.875 0.875
0.233 0.233 0.517
0.483 0.483 0.767
0.517 0.517 0.233
0.767 0.767 0.483
0.174 0.576 0.174
0.424 0.826 0.424
0.576 0.174 0.576
0.826 0.424 0.826